1.
Material: NbPbI3
Method: DFT, meta-GGA SCAN
State: PBEsol geometry

Unit cell a=6.040 b=6.040 c=6.040 alpha=90.00 beta=90.00 gamma=90.00
Each line ends with the local moment (μB).
Element x y z (fractional)
I 0.000 0.500 0.000  -0.01
I 0.500 0.000 0.000  -0.01
I 0.000 0.000 0.500  -0.01
Nb 0.500 0.500 0.500  2.97
Pb 0.000 0.000 0.000  0.00

Results
As for the formation energy without anion corrections: 64 kJ per mole of atoms. The space-group type is Pm-3m (221).



2.
Material: NiH8Cl2O4
Method: DFT, meta-GGA SCAN
State: PBEsol geometry

Unit cell a=5.761 b=9.089 c=10.702 alpha=90.00 beta=100.14 gamma=90.00
Each line ends with the local moment (μB).
Element x y z (fractional)
O 0.849 0.735 0.831  0.04
O 0.394 0.466 0.370  0.04
O 0.349 0.765 0.331  0.04
O 0.541 0.492 0.872  0.03
O 0.959 0.992 0.628  0.03
O 0.894 0.034 0.870  0.04
O 0.459 0.508 0.128  0.03
O 0.151 0.265 0.169  0.04
O 0.842 0.378 0.306  0.04
O 0.158 0.622 0.694  0.04
O 0.606 0.534 0.630  0.04
O 0.658 0.878 0.194  0.04
O 0.041 0.008 0.372  0.03
O 0.106 0.966 0.130  0.04
O 0.651 0.235 0.669  0.04
O 0.342 0.122 0.806  0.04
H 0.317 0.435 0.441  0.00
H 0.469 0.810 0.283  0.00
H 0.090 0.943 0.596  0.00
H 0.893 0.701 0.921  0.00
H 0.531 0.190 0.717  0.00
H 0.390 0.162 0.894  0.00
H 0.134 0.073 0.148  0.00
H 0.590 0.557 0.096  0.00
H 0.393 0.799 0.421  0.00
H 0.110 0.662 0.606  0.00
H 0.683 0.565 0.559  0.00
H 0.410 0.443 0.904  0.00
H 0.610 0.838 0.106  0.00
H 0.811 0.934 0.611  0.00
H 0.140 0.513 0.680  0.00
H 0.890 0.338 0.394  0.00
H 0.910 0.057 0.404  0.00
H 0.969 0.690 0.783  0.00
H 0.689 0.434 0.889  0.00
H 0.311 0.566 0.111  0.00
H 0.107 0.299 0.079  0.00
H 0.866 0.927 0.852  0.00
H 0.360 0.013 0.820  0.00
H 0.031 0.310 0.217  0.00
H 0.860 0.487 0.320  0.00
H 0.189 0.066 0.389  0.00
H 0.634 0.427 0.648  0.00
H 0.183 0.935 0.059  0.00
H 0.817 0.065 0.941  0.00
H 0.366 0.573 0.352  0.00
H 0.607 0.201 0.579  0.00
H 0.640 0.987 0.180  0.00
Cl 0.536 0.137 0.389  0.03
Cl 0.036 0.363 0.889  0.03
Cl 0.964 0.637 0.111  0.03
Cl 0.903 0.683 0.425  0.04
Cl 0.097 0.317 0.575  0.04
Cl 0.403 0.817 0.925  0.04
Cl 0.464 0.863 0.611  0.03
Cl 0.597 0.183 0.075  0.04
Ni 0.510 0.672 0.760  1.63
Ni 0.990 0.172 0.740  1.63
Ni 0.010 0.828 0.260  1.63
Ni 0.490 0.328 0.240  1.63

Results
The space-group type is P2_1/c (14). The raw total energy comes out at -6.7136 eV/atom.



3.
Material: CdFeI2
Method: DFT, meta-GGA SCAN
State: PBEsol geometry

Unit cell a=5.173 b=5.173 c=5.173 alpha=60.00 beta=60.00 gamma=60.00
Each line ends with the local moment (μB).
Element x y z (fractional)
I 0.250 0.250 0.250  0.03
I 0.750 0.750 0.750  0.03
Cd 0.500 0.500 0.500  0.01
Fe 0.000 0.000 0.000  3.14

Results
As for the formation energy without anion corrections: 43 kJ per mole of atoms. The space-group type is Fm-3m (225).



4.
Material: Rb2NdBr5
Method: DFT, meta-GGA SCAN
State: PBEsol geometry

Unit cell a=8.563 b=9.224 c=13.598 alpha=90.00 beta=90.00 gamma=90.00
Element x y z (fractional)
Br 0.886 0.250 0.683
Br 0.330 0.954 0.069
Br 0.150 0.250 0.298
Br 0.330 0.546 0.069
Br 0.830 0.454 0.431
Br 0.830 0.046 0.431
Br 0.917 0.750 0.990
Br 0.170 0.954 0.569
Br 0.386 0.750 0.817
Br 0.670 0.454 0.931
Br 0.650 0.750 0.202
Br 0.614 0.250 0.183
Br 0.583 0.750 0.490
Br 0.850 0.750 0.702
Br 0.114 0.750 0.317
Br 0.083 0.250 0.010
Br 0.350 0.250 0.798
Br 0.417 0.250 0.510
Br 0.170 0.546 0.569
Br 0.670 0.046 0.931
Nd 0.424 0.250 0.006
Nd 0.076 0.250 0.506
Nd 0.576 0.750 0.994
Nd 0.924 0.750 0.494
Rb 0.433 0.507 0.329
Rb 0.567 0.007 0.671
Rb 0.067 0.507 0.829
Rb 0.067 0.993 0.829
Rb 0.567 0.493 0.671
Rb 0.433 0.993 0.329
Rb 0.933 0.493 0.171
Rb 0.933 0.007 0.171

Results
As for the formation energy without anion corrections: -202 kJ per mole of atoms. The space-group type is Pnma (62).



5.
Material: MnTcRu2
Method: DFT, meta-GGA SCAN
State: PBEsol geometry

Unit cell a=2.648 b=4.562 c=4.561 alpha=99.63 beta=90.00 gamma=106.87
Each line ends with the local moment (μB).
Element x y z (fractional)
Ru 0.000 0.001 0.004  -0.21
Ru 0.251 0.503 0.750  -0.28
Mn 0.750 0.499 0.248  3.01
Tc 0.498 0.997 0.498  -0.34

Results
The space-group type is Cm (8). The formation enthalpy at 0 K comes out at 28 meV/atom.



6.
Material: Nb2AlSi
Method: DFT, meta-GGA SCAN
State: PBEsol geometry

Unit cell a=4.473 b=4.473 c=4.473 alpha=60.00 beta=60.00 gamma=60.00
Element x y z (fractional)
Al 0.000 0.000 0.000
Nb 0.750 0.750 0.750
Nb 0.250 0.250 0.250
Si 0.500 0.500 0.500

Results
As for the formation energy without anion corrections: -6 kJ per mole of atoms. The space-group type is Fm-3m (225).



7.
Material: TePBr2
Method: DFT, meta-GGA SCAN
State: PBEsol geometry

Unit cell a=3.725 b=5.869 c=5.816 alpha=89.57 beta=90.00 gamma=90.00
Element x y z (fractional)
P 0.000 0.372 0.831
Br 0.500 0.788 0.569
Br 0.000 0.059 0.059
Te 0.500 0.280 0.542

Results
As for the formation energy without anion corrections: -6 kJ per mole of atoms. The space-group type is Pm (6).



8.
Material: CaScSe
Method: DFT, meta-GGA SCAN
State: PBEsol geometry

Unit cell a=4.900 b=4.900 c=4.900 alpha=60.00 beta=60.00 gamma=60.00
Each line ends with the local moment (μB).
Element x y z (fractional)
Ca 0.250 0.250 0.250  0.33
Se 0.500 0.500 0.500  -0.02
Sc 0.000 0.000 0.000  1.43

Results
As for the formation energy without anion corrections: 1 kJ per mole of atoms. The space-group type is F-43m (216).



9.
Material: Pd3Pb2S2
Method: DFT, meta-GGA SCAN
State: PBEsol geometry

Unit cell a=5.726 b=5.726 c=5.726 alpha=62.32 beta=62.32 gamma=62.32
Element x y z (fractional)
Pb 0.500 0.500 0.500
Pb 0.000 0.000 0.000
Pd 0.500 0.000 0.000
Pd 0.000 0.500 0.000
Pd 0.000 0.000 0.500
S 0.718 0.718 0.718
S 0.282 0.282 0.282

Results
As for the formation energy without anion corrections: -43 kJ per mole of atoms. The space-group type is R-3m (166).



10.
Material: SrSi2Rh
Method: DFT, meta-GGA SCAN
State: PBEsol geometry

Unit cell a=4.041 b=4.057 c=5.978 alpha=109.73 beta=90.00 gamma=119.88
Element x y z (fractional)
Si 0.707 0.413 0.618
Si 0.293 0.587 0.382
Sr 0.500 0.000 0.000
Rh 0.000 0.000 0.500

Results
As for the formation energy without anion corrections: -69 kJ per mole of atoms. The space-group type is C2/m (12).



11.
Material: CdHgMo
Method: DFT, meta-GGA SCAN
State: PBEsol geometry

Unit cell a=2.836 b=2.836 c=7.055 alpha=101.59 beta=101.59 gamma=90.00
Element x y z (fractional)
Hg 0.673 0.673 0.346
Mo 0.334 0.334 0.668
Cd 0.993 0.993 0.986

Results
The space-group type is I4mm (107). The formation enthalpy at 0 K comes out at 445 meV/atom.



12.
Material: CdAu8
Method: DFT, meta-GGA SCAN
State: PBEsol geometry

Unit cell a=4.064 b=6.489 c=6.489 alpha=84.37 beta=71.75 gamma=71.75
Element x y z (fractional)
Cd 0.000 0.000 0.000
Au 0.333 0.333 0.000
Au 0.334 0.666 0.666
Au 0.667 0.667 0.000
Au 0.666 0.334 0.334
Au 0.000 0.334 0.666
Au 0.000 0.666 0.334
Au 0.667 0.000 0.667
Au 0.333 0.000 0.333

Results
The space-group type is I4/mmm (139). The formation enthalpy at 0 K comes out at -75 meV/atom.



13.
Material: K2SnCSe
Method: DFT, meta-GGA SCAN
State: PBEsol geometry

Unit cell a=3.773 b=6.526 c=6.526 alpha=90.00 beta=90.00 gamma=90.00
Element x y z (fractional)
C 0.500 0.000 0.000
K 0.000 0.500 0.000
K 0.000 0.000 0.500
Sn 0.500 0.500 0.500
Se 0.000 0.000 0.000

Results
As for the formation energy without anion corrections: 62 kJ per mole of atoms. The space-group type is P4/mmm (123).



14.
Material: BeGaFe3
Method: DFT, meta-GGA SCAN
State: PBEsol geometry

Unit cell a=3.850 b=3.850 c=3.850 alpha=90.00 beta=90.00 gamma=90.00
Each line ends with the local moment (μB).
Element x y z (fractional)
Fe 0.500 0.000 0.000  2.51
Fe 0.000 0.000 0.500  2.51
Fe 0.000 0.500 0.000  2.51
Be 0.000 0.000 0.000  -0.19
Ga 0.500 0.500 0.500  -0.14

Results
The space-group type is Pm-3m (221). The formation enthalpy at 0 K comes out at 423 meV/atom.



15.
Material: TiSbNF2
Method: DFT, meta-GGA SCAN
State: PBEsol geometry

Unit cell a=4.321 b=4.321 c=4.270 alpha=90.00 beta=90.00 gamma=90.00
Each line ends with the local moment (μB).
Element x y z (fractional)
F 0.500 0.000 0.000  0.02
F 0.000 0.500 0.000  0.02
Ti 0.500 0.500 0.500  2.15
Sb 0.000 0.000 0.000  0.01
N 0.000 0.000 0.500  -0.05

Results
As for the formation energy without anion corrections: -44 kJ per mole of atoms. The space-group type is P4/mmm (123).



16.
Material: HgCNF2
Method: DFT, meta-GGA SCAN
State: PBEsol geometry

Unit cell a=2.510 b=4.697 c=4.697 alpha=90.00 beta=90.00 gamma=90.00
Element x y z (fractional)
N 0.500 0.000 0.000
F 0.000 0.000 0.500
F 0.000 0.500 0.000
Hg 0.500 0.500 0.500
C 0.000 0.000 0.000

Results
As for the formation energy without anion corrections: -14 kJ per mole of atoms. The space-group type is P4/mmm (123).



17.
Material: Gd3Sb5O12
Method: DFT, meta-GGA SCAN
State: PBEsol geometry

Unit cell a=9.349 b=9.349 c=9.349 alpha=109.47 beta=109.47 gamma=109.47
Each line ends with the local moment (μB).
Element x y z (fractional)
O 0.201 0.724 0.201  -0.01
O 0.000 0.799 0.524  -0.01
O 0.290 0.000 0.494  -0.02
O 0.000 0.494 0.290  -0.02
O 0.710 0.203 0.710  -0.02
O 0.494 0.000 0.290  -0.02
O 0.201 0.201 0.724  -0.01
O 0.506 0.506 0.797  -0.02
O 0.203 0.710 0.710  -0.02
O 0.000 0.290 0.494  -0.02
O 0.506 0.797 0.506  -0.02
O 0.524 0.000 0.799  -0.01
O 0.000 0.524 0.799  -0.01
O 0.494 0.290 0.000  -0.02
O 0.524 0.799 0.000  -0.01
O 0.797 0.506 0.506  -0.02
O 0.724 0.201 0.201  -0.01
O 0.799 0.000 0.524  -0.01
O 0.276 0.476 0.476  -0.01
O 0.476 0.276 0.476  -0.01
O 0.290 0.494 0.000  -0.02
O 0.476 0.476 0.276  -0.01
O 0.799 0.524 0.000  -0.01
O 0.710 0.710 0.203  -0.02
Sb 0.278 0.278 0.000  0.00
Sb 0.722 0.000 0.722  0.00
Sb 0.484 0.000 0.000  -0.01
Sb 0.000 0.278 0.278  0.00
Sb 0.000 0.000 0.484  -0.01
Sb 0.000 0.722 0.722  0.00
Sb 0.516 0.516 0.516  -0.01
Sb 0.722 0.722 0.000  0.00
Sb 0.278 0.000 0.278  0.00
Sb 0.000 0.484 0.000  -0.01
Gd 0.500 0.750 0.250  6.97
Gd 0.750 0.250 0.500  6.97
Gd 0.250 0.500 0.750  6.97
Gd 0.250 0.750 0.500  6.97
Gd 0.500 0.250 0.750  6.97
Gd 0.750 0.500 0.250  6.97

Results
As for the formation energy without anion corrections: -228 kJ per mole of atoms. The space-group type is I-43m (217).



18.
Material: Co2BiCN
Method: DFT, meta-GGA SCAN
State: PBEsol geometry

Unit cell a=3.569 b=3.569 c=5.325 alpha=90.00 beta=90.00 gamma=90.00
Each line ends with the local moment (μB).
Element x y z (fractional)
N 0.500 0.500 0.500  0.68
Co 0.000 0.500 0.000  1.08
Co 0.500 0.000 0.000  1.08
C 0.000 0.000 0.000  -0.06
Bi 0.000 0.000 0.500  -0.09

Results
As for the formation energy without anion corrections: 112 kJ per mole of atoms. The space-group type is P4/mmm (123).



19.
Material: Ba3MoBr
Method: DFT, meta-GGA SCAN
State: PBEsol geometry

Unit cell a=6.104 b=6.104 c=6.104 alpha=90.00 beta=90.00 gamma=90.00
Each line ends with the local moment (μB).
Element x y z (fractional)
Mo 0.500 0.500 0.500  3.97
Ba 0.500 0.000 0.000  -0.12
Ba 0.000 0.500 0.000  -0.12
Ba 0.000 0.000 0.500  -0.12
Br 0.000 0.000 0.000  -0.01

Results
As for the formation energy without anion corrections: 19 kJ per mole of atoms. The space-group type is Pm-3m (221).



20.
Material: TiPAu2C
Method: DFT, meta-GGA SCAN
State: PBEsol geometry

Unit cell a=4.089 b=4.089 c=4.615 alpha=90.00 beta=90.00 gamma=90.00
Each line ends with the local moment (μB).
Element x y z (fractional)
Au 0.500 0.000 0.000  -0.01
Au 0.000 0.500 0.000  -0.01
P 0.000 0.000 0.500  -0.10
Ti 0.500 0.500 0.500  1.18
C 0.000 0.000 0.000  0.03

Results
The space-group type is P4/mmm (123). The formation enthalpy at 0 K comes out at 744 meV/atom.



N(E_F)
In order: 1.923, 0.000, 0.356, 0.000, 1.061, 1.062, 0.196, 1.685, 0.332, 0.591, 0.564, 0.278, 0.617, 1.022, 0.497, 0.246, 0.000, 0.330, 1.306, 0.566
Unit: states/eV per atom